Entry 1:
Crystalline CdIn2AgSe4 at its relaxed geometry, computed with PBE.

```
data_CdIn2AgSe4
_symmetry_space_group_name_H-M 'F m m 2'
_symmetry_Int_Tables_number 42
_symmetry_space_group_name_Hall 'F 2 -2'
_cell_length_a 8.735
_cell_length_b 9.149
_cell_length_c 12.162
_cell_angle_alpha 90.00
_cell_angle_beta 90.00
_cell_angle_gamma 90.00
loop_
_atom_site_label
_atom_site_type_symbol
_atom_site_fract_x
_atom_site_fract_y
_atom_site_fract_z
Cd1 Cd 0.000 0.000 0.000
In1 In 0.250 0.250 0.248
Ag1 Ag 0.000 0.000 0.498
Se1 Se 0.000 0.250 0.381
Se2 Se 0.249 0.000 0.629
```

ΔE_f (raw), eV/atom: -0.44


Entry 2:
Crystalline Sm4Cd2InAg at its relaxed geometry, computed with PBE.

```
data_Sm4Cd2InAg
_symmetry_space_group_name_H-M 'R -3 m'
_symmetry_Int_Tables_number 166
_symmetry_space_group_name_Hall '-R 3 2"'
_cell_length_a 5.3578
_cell_length_b 5.3578
_cell_length_c 26.3508
_cell_angle_alpha 90.00
_cell_angle_beta 90.00
_cell_angle_gamma 120.00
loop_
_atom_site_label
_atom_site_type_symbol
_atom_site_fract_x
_atom_site_fract_y
_atom_site_fract_z
Sm1 Sm 0.0000 0.0000 0.1226
Sm2 Sm 0.0000 0.0000 0.3729
Cd1 Cd 0.0000 0.0000 0.2480
In1 In 0.0000 0.0000 0.5000
Ag1 Ag 0.0000 0.0000 0.0000
```

Energy relative to the elements, eV/atom: -0.343